VASP calculation (PBE) on a relaxed Tb3Y8Th3 crystal.

As for the crystal system: orthorhombic. As for the raw total energy: -6.1135 eV/atom. As for the total moment: 0.000 μB/cell. For the formation energy, the calculation gives 0.162 eV per atom.

The space group is Immm (No. 71) and the conventional cell measures 5.6826, 10.6797 and 15.0842 Å, with angles of 90.00, 90.00 and 90.00 degrees. The distinct sites, in fractional coordinates, are Tb at (0.0000, 0.0000, 0.0000), Tb at (0.0000, 0.3088, 0.0000), Y at (0.0000, 0.1583, 0.2225), Y at (0.0000, 0.3393, 0.3972), Th at (0.0000, 0.0000, 0.5000) and Th at (0.0000, 0.5000, 0.1842).